(1)
Density functional theory data (PBE-GGA) for a relaxed structure of Pu2Zn4AgAu3.

Cell: 4.1492 4.1492 11.8136 Å, 90.00 90.00 90.00°
Site moments in Bohr magnetons follow the coordinates.
Fractional coordinates of all 10 atoms:
Au  0.5000  0.0000  0.8569  0.00
Au  0.0000  0.0000  0.5000  0.02
Au  0.0000  0.5000  0.1431  0.00
Zn  0.0000  0.0000  0.0000  0.00
Zn  0.0000  0.5000  0.3609  0.02
Zn  0.5000  0.0000  0.6391  0.02
Zn  0.5000  0.5000  0.0000  0.00
Pu  0.5000  0.0000  0.2455  5.40
Pu  0.0000  0.5000  0.7545  5.40
Ag  0.5000  0.5000  0.5000  0.02

- Symmetry: P-4m2 (115)
- ΔH_f (0 K): -0.2512 eV per atom
- Electronic total energy: -4.8955 eV/atom

=====

(2)
Density functional theory data (PBE-GGA) for a relaxed structure of Re2TcTe.

Cell: 4.9105 4.9105 4.9105 Å, 131.89 131.89 70.41°
Fractional coordinates of all 4 atoms:
Tc  0.5000  0.5000  0.0000
Re  0.2500  0.7500  0.5000
Re  0.0000  0.0000  0.0000
Te  0.7500  0.2500  0.5000

- Symmetry: I-4m2 (119)
- ΔE_f (raw): 0.713 eV/atom
- Electronic total energy: -8.8883 eV/atom

=====

(3)
Density functional theory data (PBE-GGA) for a relaxed structure of Fe2ReCl.

Cell: 8.1251 8.1251 8.1251 Å, 20.09 20.09 20.09°
Site moments in Bohr magnetons follow the coordinates.
Fractional coordinates of all 4 atoms:
Re  0.2500  0.2500  0.2500  -0.27
Fe  0.0019  0.0019  0.0019  2.46
Fe  0.4981  0.4981  0.4981  2.46
Cl  0.7500  0.7500  0.7500  0.13

- Symmetry: R-3m (166)
- Relative energy among the computed polymorphs: 30 meV/atom
- ΔE_f (raw): 0.304 eV/atom
- Electronic total energy: -7.5007 eV/atom

=====

(4)
Density functional theory data (PBE-GGA) for a relaxed structure of SrCuIr2.

Cell: 2.9937 2.9937 7.7884 Å, 90.00 90.00 90.00°
Fractional coordinates of all 4 atoms:
Sr  0.5000  0.5000  0.2500
Ir  0.0000  0.0000  0.9446
Ir  0.0000  0.0000  0.5554
Cu  0.5000  0.5000  0.7500

- Symmetry: P4/mmm (123)
- ΔH_f (0 K): 0.3889 eV per atom
- Relative energy among the computed polymorphs: 198 meV/atom
- Electronic total energy: -5.4861 eV/atom

=====

(5)
Density functional theory data (PBE-GGA) for a relaxed structure of NaHf2Cr.

Cell: 7.3425 7.3425 7.3458 Å, 60.02 60.02 90.00°
Fractional coordinates of all 8 atoms:
Hf  0.8750  0.1250  0.7500
Hf  0.8750  0.1250  0.2500
Hf  0.8750  0.6250  0.2500
Hf  0.3750  0.1250  0.7500
Cr  0.7500  0.2500  0.5000
Cr  0.0000  0.0000  0.0000
Na  0.5000  0.5000  0.0000
Na  0.2500  0.7500  0.5000

- Symmetry: Fd-3m (227)
- ΔH_f (0 K): 1.4033 eV per atom
- Relative energy among the computed polymorphs: 771 meV/atom
- Electronic total energy: -6.3091 eV/atom

=====

(6)
Density functional theory data (PBE-GGA) for a relaxed structure of BaNa2MgH.

Cell: 5.3389 5.3389 5.3479 Å, 90.00 90.00 90.00°
Fractional coordinates of all 5 atoms:
Na  0.0000  0.5000  0.0000
Na  0.5000  0.0000  0.0000
Mg  0.5000  0.5000  0.5000
Ba  0.0000  0.0000  0.5000
H  0.0000  0.0000  0.0000

- Symmetry: P4/mmm (123)
- Relative energy among the computed polymorphs: 0 meV/atom
- Electronic total energy: -1.9317 eV/atom

=====

(7)
Density functional theory data (PBE-GGA) for a relaxed structure of PrCd9Ni2.

Cell: 7.4369 9.0147 9.0147 Å, 80.20 65.64 65.64°
Fractional coordinates of all 24 atoms:
Cd  0.1382  0.1819  0.4243
Cd  0.0000  0.0000  0.0000
Cd  0.7500  0.5000  0.5000
Cd  0.7443  0.5757  0.8181
Cd  0.4376  0.4243  0.8181
Cd  0.4376  0.8181  0.4243
Cd  0.6118  0.3181  0.0757
Cd  0.0057  0.9243  0.6819
Cd  0.0701  0.9243  0.3181
Cd  0.6799  0.5757  0.1819
Cd  0.0701  0.3181  0.9243
Cd  0.3124  0.0757  0.6819
Cd  0.6799  0.1819  0.5757
Cd  0.3124  0.6819  0.0757
Cd  0.6118  0.0757  0.3181
Cd  0.1382  0.4243  0.1819
Cd  0.7443  0.8181  0.5757
Cd  0.0057  0.6819  0.9243
Pr  0.5000  0.0000  0.0000
Pr  0.2500  0.5000  0.5000
Ni  0.8750  0.7500  0.2500
Ni  0.3750  0.7500  0.7500
Ni  0.8750  0.2500  0.7500
Ni  0.8750  0.2500  0.2500

- Symmetry: I4_1/amd (141)
- ΔH_f (0 K): -0.0938 eV per atom
- Electronic total energy: -2.1420 eV/atom

=====

(8)
Density functional theory data (PBE-GGA) for a relaxed structure of NaBe2VSe.

Cell: 4.3484 4.7338 4.3484 Å, 90.00 90.00 90.00°
Site moments in Bohr magnetons follow the coordinates.
Fractional coordinates of all 5 atoms:
Se  0.0000  0.5000  0.0000  -0.02
Be  0.0000  0.0000  0.5000  0.02
Be  0.5000  0.0000  0.0000  0.03
Na  0.0000  0.0000  0.0000  0.00
V  0.5000  0.5000  0.5000  -0.12

- Symmetry: P4/mmm (123)
- ΔE_f (raw): 1.693 eV/atom
- Electronic total energy: -2.5822 eV/atom

=====

| no. | D(E_F) (states/eV/cell) |
| --- | --- |
| 1 | 24.654 |
| 2 | 5.102 |
| 3 | 4.814 |
| 4 | 6.113 |
| 5 | 6.736 |
| 6 | 2.456 |
| 7 | 18.057 |
| 8 | 6.242 |